# Pm2HoPd, optimized geometry, DFT PBE
data_Pm2HoPd
_symmetry_space_group_name_H-M 'R -3 m'
_symmetry_Int_Tables_number 166
_symmetry_space_group_name_Hall '-R 3 2"'
_cell_length_a 3.4683
_cell_length_b 3.4683
_cell_length_c 33.6799
_cell_angle_alpha 90.00
_cell_angle_beta 90.00
_cell_angle_gamma 120.00
loop_
_atom_site_label
_atom_site_fract_x
_atom_site_fract_y
_atom_site_fract_z
Pm1 0.0000 0.0000 0.0795
Ho1 0.0000 0.0000 0.5000
Pd1 0.0000 0.0000 0.0000
# Polymorph energy (0 for the lowest one)   517 meV/atom
# ΔE_f   33 kJ/mol of formula units
# Total DFT energy (no corrections)   -4.733 eV per atom